VASP calculation (PBE) on crystalline MoCS3 at its relaxed geometry.

Summary:
Its polymorph energy (0 for the lowest one) is 261 meV/atom. The uncorrected formation energy is 1427 meV/atom. Its total energy is -5.06 eV/atom.

Cell lengths 4.6627, 4.6627, 4.6627 Å; angles 90.00, 90.00, 90.00 degrees
Space group Pm-3m (No. 221)
One atom of each set of equivalent atoms:
1 Mo 0.0000 0.0000 0.0000 x1
2 C 0.5000 0.5000 0.5000 x1
3 S 0.0000 0.0000 0.5000 x3